[1]
Material: SrNi4Ge4
Method: DFT, PBE-GGA
State: relaxed

Computed properties:
The energy of formation from the pure elements comes out at -0.3410 eV per atom. The value obtained for the spin magnetization is 0.00 Bohr magnetons per cell.

Cell: 8.259 8.259 4.510 Å, 90.00 90.00 90.00°
Space group I4/m (No. 87)
Inequivalent atoms, fractional coordinates:
1 Sr 0.000 0.000 0.000
2 Ni 0.170 0.313 0.500
3 Ge 0.113 0.627 0.500

=====

[2]
Material: SrNi3Ge2
Method: DFT, PBE-GGA
State: relaxed

Computed properties:
The energy of formation from the pure elements comes out at -0.4133 eV per atom. The value obtained for the spin magnetization is 0.00 Bohr magnetons per cell.

Cell: 15.159 3.962 7.399 Å, 90.00 113.94 90.00°
Space group C2/m (No. 12)
Inequivalent atoms, fractional coordinates:
1 Sr 0.153 0.000 0.069
2 Ni 0.034 0.000 0.373
3 Ni 0.085 0.500 0.643
4 Ni 0.183 0.500 0.441
5 Ge 0.020 0.500 0.196
6 Ge 0.182 0.000 0.649

=====

[3]
Material: Sr2NiGe2
Method: DFT, PBE-GGA
State: relaxed

Computed properties:
The energy of formation from the pure elements comes out at -0.3006 eV per atom. The value obtained for the spin magnetization is 0.00 Bohr magnetons per cell.

Cell: 6.922 6.922 4.946 Å, 90.00 90.00 90.00°
Space group P4/mbm (No. 127)
Inequivalent atoms, fractional coordinates:
1 Sr 0.169 0.331 0.000
2 Ni 0.000 0.000 0.500
3 Ge 0.140 0.640 0.500

=====

[4]
Material: SrNi3Ge
Method: DFT, PBE-GGA
State: relaxed

Computed properties:
For the energy above the most stable polymorph in this dataset, the calculation gives 9 meV/atom. The energy of formation from the pure elements comes out at 0.0468 eV per atom. The value obtained for the spin magnetization is 0.00 Bohr magnetons per cell.

Cell: 4.524 4.524 4.524 Å, 90.00 90.00 90.00°
Space group Pm-3m (No. 221)
Inequivalent atoms, fractional coordinates:
1 Sr 0.000 0.000 0.000
2 Ni 0.000 0.500 0.500
3 Ge 0.500 0.500 0.500

=====

[5]
Material: SrNi3Ge3
Method: DFT, PBE-GGA
State: relaxed

Computed properties:
For the energy above the most stable polymorph in this dataset, the calculation gives 24 meV/atom. The energy of formation from the pure elements comes out at -0.2223 eV per atom. The value obtained for the spin magnetization is 0.00 Bohr magnetons per cell.

Cell: 6.522 6.522 6.522 Å, 90.00 90.00 90.00°
Space group Pm-3n (No. 223)
Inequivalent atoms, fractional coordinates:
1 Sr 0.000 0.000 0.000
2 Ni 0.000 0.250 0.500
3 Ge 0.000 0.500 0.250

=====

[6]
Material: SrNi2Ge2
Method: DFT, PBE-GGA
State: relaxed

Computed properties:
The energy of formation from the pure elements comes out at -0.3716 eV per atom. The value obtained for the spin magnetization is 0.00 Bohr magnetons per cell.

Cell: 4.274 4.274 9.925 Å, 90.00 90.00 90.00°
Space group I4/mmm (No. 139)
Inequivalent atoms, fractional coordinates:
1 Sr 0.000 0.000 0.000
2 Ni 0.000 0.000 0.367
3 Ge 0.000 0.500 0.250

=====

[7]
Material: Sr3Ni2Ge4
Method: DFT, PBE-GGA
State: relaxed

Computed properties:
For the energy above the most stable polymorph in this dataset, the calculation gives 30 meV/atom. The energy of formation from the pure elements comes out at -0.5050 eV per atom. The value obtained for the spin magnetization is 0.00 Bohr magnetons per cell.

Cell: 11.638 4.072 8.943 Å, 90.00 99.82 90.00°
Space group C2/m (No. 12)
Inequivalent atoms, fractional coordinates:
1 Sr 0.000 0.000 0.000
2 Sr 0.115 0.500 0.390
3 Ni 0.185 0.500 0.804
4 Ge 0.111 0.000 0.680
5 Ge 0.210 0.500 0.083

=====

[8]
Material: Sr2NiGe
Method: DFT, PBE-GGA
State: relaxed

Computed properties:
The energy of formation from the pure elements comes out at -0.4082 eV per atom. The value obtained for the spin magnetization is 0.00 Bohr magnetons per cell.

Cell: 4.2479 4.2479 24.4115 Å, 90.00 90.00 120.00°
Space group R3m (No. 160, hexagonal axes)
Inequivalent atoms, fractional coordinates:
1 Sr 0.0000 0.0000 0.0000
2 Sr 0.0000 0.0000 0.1672
3 Ni 0.0000 0.0000 0.7504
4 Ge 0.0000 0.0000 0.4169

=====

[9]
Material: SrNiGe3
Method: DFT, PBE-GGA
State: relaxed

Computed properties:
The energy of formation from the pure elements comes out at -0.1156 eV per atom. The value obtained for the spin magnetization is 0.00 Bohr magnetons per cell.

Cell: 4.774 4.774 4.774 Å, 90.00 90.00 90.00°
Space group Pm-3m (No. 221)
Inequivalent atoms, fractional coordinates:
1 Sr 0.000 0.000 0.000
2 Ni 0.500 0.500 0.500
3 Ge 0.000 0.500 0.500

=====

[10]
Material: SrNi6Ge4
Method: DFT, PBE-GGA
State: relaxed

Computed properties:
The energy of formation from the pure elements comes out at -0.3738 eV per atom. The value obtained for the spin magnetization is 0.00 Bohr magnetons per cell.

Cell: 6.8945 6.8945 3.8342 Å, 90.00 90.00 120.00°
Space group P-6m2 (No. 187)
Inequivalent atoms, fractional coordinates:
1 Sr 0.0000 0.0000 0.0000
2 Ni 0.2082 0.4165 0.5000
3 Ni 0.5371 0.0742 0.0000
4 Ge 0.3333 0.6667 0.0000
5 Ge 0.3903 0.1952 0.5000

=====

[11]
Material: Sr3Ni2Ge4
Method: DFT, PBE-GGA
State: relaxed

Computed properties:
For the energy above the most stable polymorph in this dataset, the calculation gives 0 meV/atom. The energy of formation from the pure elements comes out at -0.5346 eV per atom. The value obtained for the spin magnetization is 0.00 Bohr magnetons per cell.

Cell: 12.000 4.067 8.774 Å, 90.00 95.57 90.00°
Space group C2/m (No. 12)
Inequivalent atoms, fractional coordinates:
1 Sr 0.000 0.000 0.000
2 Sr 0.166 0.500 0.662
3 Ni 0.109 0.500 0.279
4 Ge 0.057 0.000 0.382
5 Ge 0.217 0.500 0.069

=====

[12]
Material: SrNi2Ge2
Method: DFT, PBE-GGA
State: relaxed

Computed properties:
The energy of formation from the pure elements comes out at -0.1276 eV per atom. The value obtained for the spin magnetization is 0.00 Bohr magnetons per cell.

Cell: 7.583 7.583 3.000 Å, 90.00 90.00 90.00°
Space group P4/mbm (No. 127)
Inequivalent atoms, fractional coordinates:
1 Sr 0.000 0.000 0.000
2 Ni 0.120 0.380 0.000
3 Ge 0.146 0.646 0.500

=====

spin magnetization of number 8 (Sr2NiGe)? 0.00 Bohr magnetons per cell

=====

Repeat the fifth record exactly.
Material: SrNi3Ge3
Method: DFT, PBE-GGA
State: relaxed

Computed properties:
For the energy above the most stable polymorph in this dataset, the calculation gives 24 meV/atom. The energy of formation from the pure elements comes out at -0.2223 eV per atom. The value obtained for the spin magnetization is 0.00 Bohr magnetons per cell.

Cell: 6.522 6.522 6.522 Å, 90.00 90.00 90.00°
Space group Pm-3n (No. 223)
Inequivalent atoms, fractional coordinates:
1 Sr 0.000 0.000 0.000
2 Ni 0.000 0.250 0.500
3 Ge 0.000 0.500 0.250